Crystalline HfInFeOs at its relaxed geometry. Source: OQMD, functional GGA-PBE.

a = 4.590 Å, b = 4.590 Å, c = 4.590 Å
α = 60.00°, β = 60.00°, γ = 60.00°
Sites, in units of the cell vectors:
Fe: 0.750 0.750 0.750
Hf: 0.250 0.250 0.250
In: 0.000 0.000 0.000
Os: 0.500 0.500 0.500

Symmetry ... No. 216
Electronic total energy ... -31.48 eV per cell
Spin magnetization ... 0.933 μB per atom